# 1
Entry from the Alexandria database: V3AgC after structural relaxation (PBE).

Cell: 4.018 4.018 4.018 Å, 90.00 90.00 90.00°
Sites, in units of the cell vectors:
V1 0.000 0.000 0.500
V2 0.000 0.500 0.000
V3 0.500 0.000 0.000
Ag1 0.500 0.500 0.500
C1 0.000 0.000 0.000

DFT formation energy (meV per atom): -57
Symmetry: Pm-3m
VASP energy (eV per formula unit): -39.71
Offset from the most stable computed form (eV per atom): 0.000

=====

# 2
Entry from the Alexandria database: Ca2MnMo after structural relaxation (PBE).

Cell: 5.706 5.706 3.011 Å, 90.10 90.10 114.19°
Sites, in units of the cell vectors:
Ca1 0.000 0.500 0.000
Ca2 0.500 0.000 0.000
Mn1 0.000 0.000 0.500
Mo1 0.500 0.500 0.500

DFT formation energy (meV per atom): 854
Symmetry: C2/m
VASP energy (eV per formula unit): -20.59
Offset from the most stable computed form (eV per atom): 0.487

=====

# 3
Entry from the Alexandria database: KTc3Pd after structural relaxation (PBE).

Cell: 4.438 4.438 4.438 Å, 90.00 90.00 90.00°
Sites, in units of the cell vectors:
K1 0.000 0.000 0.000
Tc1 0.000 0.000 0.500
Tc2 0.000 0.500 0.000
Tc3 0.500 0.000 0.000
Pd1 0.500 0.500 0.500

DFT formation energy (meV per atom): 3007
Symmetry: Pm-3m
VASP energy (eV per formula unit): -22.35
Offset from the most stable computed form (eV per atom): 0.991